[1]
TcPb2Au after structural relaxation. Source: Alexandria via LeMat-Bulk, functional PBE.

Lattice parameters (Å, degrees): 4.5213 4.5213 19.1007 90.00 90.00 90.00
Closest atoms and distances in Å follow each position.
Space group I-42d (No. 122)
Unique sites:
Tc (0.0000, 0.0000, 0.0000)  4 Pb 2.86, 4 Au 3.20
Pb (0.2409, 0.2500, 0.1250)  2 Tc 2.86, 2 Au 2.89, 2 Pb 3.14
Au (0.0000, 0.0000, 0.5000)  4 Pb 2.89, 4 Tc 3.20

Magnetization (μB/atom): 0.5554
Energy (eV per atom): -4.57
D(E_F) (states/eV/atom): 0.614
E_form (meV per atom): 699

=====

[2]
TcPb2Au after structural relaxation. Source: Alexandria via LeMat-Bulk, functional PBE.

Lattice parameters (Å, degrees): 7.0726 7.0726 7.0726 90.00 90.00 90.00
Closest atoms and distances in Å follow each position.
Space group Fm-3m (No. 225)
Unique sites:
Tc (0.0000, 0.0000, 0.0000)  8 Pb 3.06
Pb (0.2500, 0.2500, 0.2500)  4 Tc 3.06, 4 Au 3.06
Au (0.0000, 0.0000, 0.5000)  8 Pb 3.06

Magnetization (μB/atom): 0.4799
Energy (eV per atom): -4.65
D(E_F) (states/eV/atom): 0.588
E_form (meV per atom): 620

=====

[3]
TcPb2Au after structural relaxation. Source: Alexandria via LeMat-Bulk, functional PBE.

Lattice parameters (Å, degrees): 3.2001 3.2001 9.0844 90.00 90.00 90.00
Closest atoms and distances in Å follow each position.
Space group P4mm (No. 99)
Unique sites:
Tc (0.0000, 0.0000, 0.0000)  4 Au 2.81, 4 Pb 3.02
Pb (0.0000, 0.0000, 0.4169)  4 Au 3.10, 4 Pb 3.20
Pb (0.5000, 0.5000, 0.7792)  4 Tc 3.02, 4 Pb 3.20
Au (0.5000, 0.5000, 0.1830)  4 Tc 2.81, 4 Pb 3.10

Magnetization (μB/atom): 0.2832
Energy (eV per atom): -4.87
D(E_F) (states/eV/atom): 0.711
E_form (meV per atom): 391